Arrangement i

{"formula": "LiAlSe2Br", "functional": "GGA-PBE", "state": "optimized geometry", "magnetic_moment_mub_per_cell": 0.00, "dos_ef_per_ev_atom": 0.8108, "lattice": [[4.4607, 0.0000, 0.0000], [0.0000, 4.4607, 0.0000], [0.0000, 0.0000, 6.5121]], "species": ["Li", "Se", "Se", "Br", "Al"], "frac_coords": [[0.0000, 0.0000, 0.0000], [0.0000, 0.5000, 0.0000], [0.5000, 0.0000, 0.0000], [0.0000, 0.0000, 0.5000], [0.5000, 0.5000, 0.5000]]}


Arrangement ii

{"formula": "LiAlSe2Br", "functional": "GGA-PBE", "state": "optimized geometry", "magnetic_moment_mub_per_cell": 0.00, "dos_ef_per_ev_atom": 0.7150, "lattice": [[-0.3559, 0.2174, -4.8194], [-4.4746, -1.8211, 0.2483], [-2.0665, 5.1299, 0.3840]], "species": ["Li", "Se", "Se", "Br", "Al"], "frac_coords": [[0.5000, 0.5000, 0.5000], [0.0000, 0.5000, 0.0000], [0.5000, 0.0000, 0.0000], [0.0000, 0.0000, 0.5000], [0.0000, 0.0000, 0.0000]]}


Which is most stable, and by how much? arrangement ii, by 53.2 kJ/mol of atoms.


Arrangement i

{"formula": "MnAlBr", "functional": "GGA-PBE", "state": "optimized geometry", "magnetic_moment_mub_per_cell": 3.06, "dos_ef_per_ev_atom": 0.6404, "lattice": [[-0.2129, -2.5945, 3.6541], [3.7371, -0.9633, 2.2882], [0.6669, 1.7861, 4.0614]], "species": ["Mn", "Al", "Br"], "frac_coords": [[0.7500, 0.7500, 0.7500], [0.0000, 0.0000, 0.0000], [0.5000, 0.5000, 0.5000]]}


Arrangement ii

{"formula": "MnAlBr", "functional": "GGA-PBE", "state": "optimized geometry", "magnetic_moment_mub_per_cell": 3.15, "dos_ef_per_ev_atom": 0.7531, "lattice": [[4.4833, 0.0000, 0.0000], [-2.2417, 3.8827, 0.0000], [0.0000, 0.0000, 3.2181]], "species": ["Mn", "Al", "Br"], "frac_coords": [[0.3333, 0.6667, 0.4998], [0.0000, 0.0000, 0.0002], [0.6667, 0.3333, 0.4998]]}


Arrangement iii

{"formula": "MnAlBr", "functional": "GGA-PBE", "state": "optimized geometry", "magnetic_moment_mub_per_cell": 3.68, "dos_ef_per_ev_atom": 0.6098, "lattice": [[-1.2461, 4.2347, 5.4168], [-3.5245, 4.6839, 3.0934], [-0.8778, -1.7663, 2.6269]], "species": ["Mn", "Al", "Br"], "frac_coords": [[0.6650, 0.6650, 0.3350], [0.0191, 0.0191, 0.9809], [0.3159, 0.3159, 0.6841]]}


Which is most stable, and by how much? arrangement iii, by 14.2 kJ/mol of atoms.


Arrangement i

{"formula": "MnAlBr", "functional": "GGA-PBE", "state": "optimized geometry", "magnetic_moment_mub_per_cell": 3.29, "dos_ef_per_ev_atom": 0.3536, "lattice": [[-3.1013, -0.6890, -0.9661], [2.1078, -2.4683, 0.7006], [-1.7875, 0.0851, 5.6773]], "species": ["Mn", "Al", "Br"], "frac_coords": [[0.3333, 0.6667, 0.6738], [0.0000, 0.0000, 0.9610], [0.6667, 0.3333, 0.3653]]}


Arrangement ii

{"formula": "MnAlBr", "functional": "GGA-PBE", "state": "optimized geometry", "magnetic_moment_mub_per_cell": 3.86, "dos_ef_per_ev_atom": 0.5942, "lattice": [[6.2532, -0.0104, 0.0000], [4.5744, 4.2635, 0.0000], [-5.4138, -2.1265, 2.2959]], "species": ["Mn", "Al", "Br"], "frac_coords": [[0.6576, 0.6576, 0.0000], [0.0373, 0.0373, 0.0000], [0.3051, 0.3051, 0.0000]]}


Which is most stable, and by how much? arrangement i, by 7.7 kJ/mol of atoms.


Arrangement i

{"formula": "Mn2AlBr", "functional": "GGA-PBE", "state": "optimized geometry", "magnetic_moment_mub_per_cell": 15.97, "dos_ef_per_ev_atom": 0.1233, "lattice": [[-0.1647, 4.8571, -5.3750], [-3.6543, -4.6980, -4.1333], [-4.4154, 1.1278, -3.7301]], "species": ["Mn", "Mn", "Mn", "Mn", "Al", "Al", "Br", "Br"], "frac_coords": [[0.6271, 0.1250, 0.2500], [0.1229, 0.6250, 0.2500], [0.3750, 0.3729, 0.7500], [0.8750, 0.8771, 0.7500], [0.5000, 0.5000, 0.0000], [0.2500, 0.7500, 0.5000], [0.0000, 0.0000, 0.0000], [0.7500, 0.2500, 0.5000]]}


Arrangement ii

{"formula": "Mn2AlBr", "functional": "GGA-PBE", "state": "optimized geometry", "magnetic_moment_mub_per_cell": 7.12, "dos_ef_per_ev_atom": 0.6653, "lattice": [[4.5003, 0.0211, 0.1187], [3.4131, 2.9331, 0.1187], [4.0051, 1.4952, 6.6094]], "species": ["Mn", "Mn", "Al", "Br"], "frac_coords": [[0.0533, 0.0533, 0.0839], [0.4467, 0.4467, 0.4161], [0.2500, 0.2500, 0.2500], [0.7500, 0.7500, 0.7500]]}


Which is most stable, and by how much? arrangement ii, by 26.8 kJ/mol of atoms.


Arrangement i

{"formula": "Mn2AlBr", "functional": "GGA-PBE", "state": "optimized geometry", "magnetic_moment_mub_per_cell": 6.68, "dos_ef_per_ev_atom": 0.4819, "lattice": [[6.6123, 0.1809, -0.0130], [4.6061, 4.7475, 0.0130], [-5.3589, -3.0341, 2.4151]], "species": ["Mn", "Mn", "Al", "Br"], "frac_coords": [[0.0137, 0.0137, 0.0000], [0.8247, 0.3247, 0.5000], [0.4623, 0.4623, 0.0000], [0.1993, 0.6993, 0.5000]]}


Arrangement ii

{"formula": "Mn2AlBr", "functional": "GGA-PBE", "state": "optimized geometry", "magnetic_moment_mub_per_cell": 7.18, "dos_ef_per_ev_atom": 0.7410, "lattice": [[-1.8856, 0.9828, -2.2122], [0.6947, -4.5472, -2.6122], [-3.4070, -1.7438, 2.1294]], "species": ["Mn", "Mn", "Al", "Br"], "frac_coords": [[0.0000, 0.0000, 0.0000], [0.5000, 0.5000, 0.0000], [0.5000, 0.0000, 0.5000], [0.0000, 0.5000, 0.5000]]}


Which is most stable, and by how much? arrangement i, by 19.3 kJ/mol of atoms.


Arrangement i

{"formula": "Mn2AlBr", "functional": "GGA-PBE", "state": "optimized geometry", "magnetic_moment_mub_per_cell": 7.11, "dos_ef_per_ev_atom": 0.7835, "lattice": [[3.0186, 0.0000, 0.0000], [0.0000, 4.7970, 0.0000], [0.0000, 0.0000, 4.7970]], "species": ["Mn", "Mn", "Al", "Br"], "frac_coords": [[0.0000, 0.0000, 0.0000], [0.0000, 0.5000, 0.5000], [0.5000, 0.5000, 0.0000], [0.5000, 0.0000, 0.5000]]}


Arrangement ii

{"formula": "Mn2AlBr", "functional": "GGA-PBE", "state": "optimized geometry", "magnetic_moment_mub_per_cell": 3.98, "dos_ef_per_ev_atom": 0.2178, "lattice": [[7.9744, -0.0083, -0.0049], [7.3649, 3.0577, -0.0049], [7.3649, 1.4641, 2.6844]], "species": ["Mn", "Mn", "Al", "Br"], "frac_coords": [[0.9924, 0.9924, 0.9924], [0.2527, 0.2527, 0.2527], [0.5124, 0.5124, 0.5124], [0.7425, 0.7425, 0.7425]]}


Arrangement iii

{"formula": "Mn2AlBr", "functional": "GGA-PBE", "state": "optimized geometry", "magnetic_moment_mub_per_cell": 6.88, "dos_ef_per_ev_atom": 0.5002, "lattice": [[-2.4166, 1.9777, -0.1946], [-0.5919, -1.0887, -3.7144], [-4.1552, -5.0699, 0.0760]], "species": ["Mn", "Mn", "Al", "Br"], "frac_coords": [[0.0000, 0.1792, 0.0164], [0.5000, 0.9961, 0.3827], [0.0000, 0.5328, 0.3094], [0.5000, 0.7920, 0.7915]]}


Arrangement iv

{"formula": "Mn2AlBr", "functional": "GGA-PBE", "state": "optimized geometry", "magnetic_moment_mub_per_cell": 0.17, "dos_ef_per_ev_atom": 0.7071, "lattice": [[3.1422, 0.0000, 0.0000], [0.0000, 3.1422, 0.0000], [0.0000, 0.0000, 7.7060]], "species": ["Mn", "Mn", "Al", "Br"], "frac_coords": [[0.0000, 0.0000, 0.0347], [0.5000, 0.5000, 0.2285], [0.0000, 0.0000, 0.4046], [0.5000, 0.5000, 0.8322]]}


Which is most stable, and by how much? arrangement iv, by 4.3 kJ/mol of atoms.


Arrangement i

{"formula": "Mn2AlBr", "functional": "GGA-PBE", "state": "optimized geometry", "magnetic_moment_mub_per_cell": 7.21, "dos_ef_per_ev_atom": 0.6369, "lattice": [[6.9289, 0.0203, 0.3822], [5.7578, 3.8546, 0.3822], [0.5503, 0.1681, 3.0969]], "species": ["Mn", "Mn", "Al", "Br"], "frac_coords": [[0.9971, 0.9971, 0.8819], [0.1706, 0.1706, 0.2065], [0.5332, 0.5332, 0.3456], [0.7991, 0.7991, 0.0660]]}


Arrangement ii

{"formula": "Mn2AlBr", "functional": "GGA-PBE", "state": "optimized geometry", "magnetic_moment_mub_per_cell": 7.18, "dos_ef_per_ev_atom": 0.6897, "lattice": [[5.3035, -0.0123, 0.0055], [1.7442, 5.0085, -0.0055], [-2.6380, -3.7477, 2.6689]], "species": ["Mn", "Mn", "Al", "Br"], "frac_coords": [[0.9975, 0.9975, 0.0000], [0.5025, 0.5025, 0.0000], [0.7500, 0.2500, 0.5000], [0.2500, 0.7500, 0.5000]]}


Which is most stable, and by how much? arrangement i, by 19.7 kJ/mol of atoms.


Arrangement i

{"formula": "Mn2AlBr", "functional": "GGA-PBE", "state": "optimized geometry", "magnetic_moment_mub_per_cell": 6.00, "dos_ef_per_ev_atom": 1.5086, "lattice": [[0.0000, 3.1900, 3.1900], [3.1900, 0.0000, 3.1900], [3.1900, 3.1900, 0.0000]], "species": ["Mn", "Mn", "Al", "Br"], "frac_coords": [[0.2500, 0.2500, 0.2500], [0.7500, 0.7500, 0.7500], [0.0000, 0.0000, 0.0000], [0.5000, 0.5000, 0.5000]]}


Arrangement ii

{"formula": "Mn2AlBr", "functional": "GGA-PBE", "state": "optimized geometry", "magnetic_moment_mub_per_cell": 7.52, "dos_ef_per_ev_atom": 0.5226, "lattice": [[3.1262, 0.0158, 0.0000], [-1.3581, 2.8159, 0.0000], [0.0000, 0.0000, 8.1765]], "species": ["Mn", "Mn", "Al", "Br"], "frac_coords": [[0.0000, 0.0000, 0.0109], [0.0000, 0.0000, 0.4891], [0.5000, 0.5000, 0.2500], [0.5000, 0.5000, 0.7500]]}


Arrangement iii

{"formula": "Mn2AlBr", "functional": "GGA-PBE", "state": "optimized geometry", "magnetic_moment_mub_per_cell": 8.28, "dos_ef_per_ev_atom": 0.3122, "lattice": [[-6.2279, -4.3711, 2.8404], [-4.1805, -4.3614, 5.4280], [-6.2060, -1.8072, 4.9174]], "species": ["Mn", "Mn", "Al", "Br"], "frac_coords": [[0.9964, 0.9964, 0.9964], [0.5036, 0.5036, 0.5036], [0.2500, 0.2500, 0.2500], [0.7500, 0.7500, 0.7500]]}


Which is most stable, and by how much? arrangement iii, by 6.8 kJ/mol of atoms.


Arrangement i

{"formula": "Mn2AlBr", "functional": "GGA-PBE", "state": "optimized geometry", "magnetic_moment_mub_per_cell": 7.50, "dos_ef_per_ev_atom": 0.6403, "lattice": [[-5.5456, -0.3019, -1.0401], [-2.8936, -4.8528, -0.0620], [3.7143, 2.8453, 3.1679]], "species": ["Mn", "Mn", "Al", "Br"], "frac_coords": [[0.0000, 0.0000, 0.0000], [0.2500, 0.7500, 0.5000], [0.5000, 0.5000, 0.0000], [0.7500, 0.2500, 0.5000]]}


Arrangement ii

{"formula": "Mn2AlBr", "functional": "GGA-PBE", "state": "optimized geometry", "magnetic_moment_mub_per_cell": 6.79, "dos_ef_per_ev_atom": 0.6391, "lattice": [[3.1484, 0.0000, 0.0000], [0.0000, 3.3523, 0.0055], [0.0000, -0.0116, 6.9409]], "species": ["Mn", "Mn", "Al", "Br"], "frac_coords": [[0.0000, 0.7499, 0.0578], [0.0000, 0.7501, 0.4422], [0.5000, 0.2500, 0.2500], [0.5000, 0.7500, 0.7500]]}


Which is most stable, and by how much? arrangement ii, by 35.0 kJ/mol of atoms.


Arrangement i

{"formula": "Mn2AlBr", "functional": "GGA-PBE", "state": "optimized geometry", "magnetic_moment_mub_per_cell": 6.90, "dos_ef_per_ev_atom": 0.8797, "lattice": [[3.0591, 0.0000, 0.0000], [0.0000, 3.0591, 0.0000], [0.0000, 0.0000, 7.2538]], "species": ["Mn", "Mn", "Al", "Br"], "frac_coords": [[0.0000, 0.0000, 0.0281], [0.0000, 0.0000, 0.4719], [0.5000, 0.5000, 0.2500], [0.5000, 0.5000, 0.7500]]}


Arrangement ii

{"formula": "Mn2AlBr", "functional": "GGA-PBE", "state": "optimized geometry", "magnetic_moment_mub_per_cell": 7.39, "dos_ef_per_ev_atom": 0.5411, "lattice": [[4.8273, -0.0660, -0.1458], [-3.4353, 5.6882, 0.2074], [0.0183, 1.7152, 2.5470]], "species": ["Mn", "Mn", "Al", "Br"], "frac_coords": [[0.0000, 0.0000, 0.0000], [0.0000, 0.5000, 0.5000], [0.5000, 0.5000, 0.0000], [0.5000, 0.0000, 0.5000]]}


Arrangement iii

{"formula": "Mn2AlBr", "functional": "GGA-PBE", "state": "optimized geometry", "magnetic_moment_mub_per_cell": 6.76, "dos_ef_per_ev_atom": 0.7884, "lattice": [[-1.0305, 3.8666, 2.6301], [-4.0432, 1.5773, -2.0235], [0.9333, -4.4255, 1.5728]], "species": ["Mn", "Mn", "Al", "Br"], "frac_coords": [[0.0000, 0.0000, 0.0000], [0.5000, 0.5000, 0.0000], [0.2500, 0.7500, 0.5000], [0.7500, 0.2500, 0.5000]]}


Which is most stable, and by how much? arrangement i, by 16.5 kJ/mol of atoms.


Arrangement i

{"formula": "MnAlSeBr2", "functional": "GGA-PBE", "state": "optimized geometry", "magnetic_moment_mub_per_cell": 4.02, "dos_ef_per_ev_atom": 0.5768, "lattice": [[5.1977, 0.0000, 0.0000], [0.0000, 5.1977, 0.0000], [0.0000, 0.0000, 4.9370]], "species": ["Mn", "Se", "Br", "Br", "Al"], "frac_coords": [[0.0000, 0.0000, 0.0000], [0.0000, 0.0000, 0.5000], [0.0000, 0.5000, 0.0000], [0.5000, 0.0000, 0.0000], [0.5000, 0.5000, 0.5000]]}


Arrangement ii

{"formula": "MnAlSeBr2", "functional": "GGA-PBE", "state": "optimized geometry", "magnetic_moment_mub_per_cell": 5.53, "dos_ef_per_ev_atom": 0.4864, "lattice": [[5.0545, 0.0000, 0.0000], [0.0000, 5.0545, 0.0000], [0.0000, 0.0000, 5.0555]], "species": ["Mn", "Se", "Br", "Br", "Al"], "frac_coords": [[0.5000, 0.5000, 0.5000], [0.0000, 0.0000, 0.5000], [0.0000, 0.5000, 0.0000], [0.5000, 0.0000, 0.0000], [0.0000, 0.0000, 0.0000]]}


Which is most stable, and by how much? arrangement i, by 9.2 kJ/mol of atoms.


Arrangement i

{"formula": "Al2MoBr", "functional": "GGA-PBE", "state": "optimized geometry", "magnetic_moment_mub_per_cell": 1.14, "dos_ef_per_ev_atom": 0.6217, "lattice": [[-4.6753, -1.7717, 1.3200], [-0.1480, -2.0941, 4.7258], [1.7630, 4.4656, -1.9209]], "species": ["Mo", "Al", "Al", "Br"], "frac_coords": [[0.7500, 0.2500, 0.5000], [0.0000, 0.0000, 0.0000], [0.5000, 0.5000, 0.0000], [0.2500, 0.7500, 0.5000]]}


Arrangement ii

{"formula": "Al2MoBr", "functional": "GGA-PBE", "state": "optimized geometry", "magnetic_moment_mub_per_cell": 0.00, "dos_ef_per_ev_atom": 0.6860, "lattice": [[3.3030, 0.0000, 0.0000], [0.0000, 3.3043, 0.0000], [0.0000, 0.0000, 6.8529]], "species": ["Mo", "Al", "Al", "Br"], "frac_coords": [[0.5000, 0.5000, 0.7500], [0.0000, 0.0000, 0.9408], [0.0000, 0.0000, 0.5592], [0.5000, 0.5000, 0.2500]]}


Arrangement iii

{"formula": "Al2MoBr", "functional": "GGA-PBE", "state": "optimized geometry", "magnetic_moment_mub_per_cell": 2.35, "dos_ef_per_ev_atom": 0.5710, "lattice": [[7.3910, 0.0000, 0.0000], [0.0000, 7.3910, 0.0000], [3.6955, 3.6955, 2.8569]], "species": ["Mo", "Mo", "Al", "Al", "Al", "Al", "Br", "Br"], "frac_coords": [[0.0000, 0.0000, 0.0000], [0.7500, 0.2500, 0.5000], [0.6408, 0.1250, 0.2500], [0.1092, 0.6250, 0.2500], [0.3750, 0.3592, 0.7500], [0.8750, 0.8908, 0.7500], [0.5000, 0.5000, 0.0000], [0.2500, 0.7500, 0.5000]]}


Which is most stable, and by how much? arrangement ii, by 39.8 kJ/mol of atoms.